# 1
Computed, not measured: SiHIN2 at its PBEsol-relaxed geometry at the SCAN level of DFT.

Results
As for the crystal system: tetragonal.

a b c (Å): 3.386 3.386 6.694
angles (deg): 90.00 90.00 90.00
Fractional positions:
Si 0.000 0.000 0.000
H 0.500 0.500 0.500
I 0.000 0.000 0.500
N 0.000 0.500 0.000
N 0.500 0.000 0.000

***

# 2
Computed, not measured: NaCrSe2 at its PBEsol-relaxed geometry at the SCAN level of DFT.

Results
As for the crystal system: cubic.

a b c (Å): 4.693 4.693 4.693
angles (deg): 60.00 60.00 60.00
Fractional positions:
Na 0.000 0.000 0.000
Cr 0.500 0.500 0.500
Se 0.250 0.250 0.250
Se 0.750 0.750 0.750

***

Number 1: total magnetic moment 0.0 μB per cell, total DFT energy (no corrections) -65.2 eV/f.u.. Number 2: total magnetic moment 3.0 μB per cell, total DFT energy (no corrections) -64.8 eV/f.u..